(1)
DFT (GGA-PBE) results for a geometry-optimized SrSn2Pb2 structure.

The value obtained for the formation energy is -0.225 eV/atom.

The structure belongs to space group I4/mmm (No. 139); the cell edges are 4.912, 4.912 and 14.276 Å and the angles 90.00°, 90.00° and 90.00°. The distinct sites, in fractional coordinates, are Sr at (0.000, 0.000, 0.000), Sn at (0.000, 0.000, 0.399) and Pb at (0.000, 0.500, 0.250).

---

(2)
DFT (GGA-PBE) results for a geometry-optimized Cr3GeW structure.

The value obtained for the formation energy is 1.399 eV/atom.

The structure belongs to space group Pm-3m (No. 221); the cell edges are 4.349, 4.349 and 4.349 Å and the angles 90.00°, 90.00° and 90.00°. The distinct sites, in fractional coordinates, are Cr at (0.000, 0.000, 0.500), Ge at (0.000, 0.000, 0.000) and W at (0.500, 0.500, 0.500).

---

(3)
DFT (GGA-PBE) results for a geometry-optimized LiIn6Hg4 structure.

The value obtained for the formation energy is -0.032 eV/atom.

The structure belongs to space group P1 (No. 1); the cell edges are 6.393, 6.456 and 7.530 Å and the angles 76.19°, 71.49° and 89.06°. The distinct sites, in fractional coordinates, are Li at (0.000, 0.000, 0.000), In at (0.005, 0.507, 0.999), In at (0.179, 0.615, 0.326), In at (0.378, 0.352, 0.679), In at (0.497, 0.980, 0.999), In at (0.621, 0.182, 0.307), In at (0.834, 0.819, 0.661), Hg at (0.129, 0.143, 0.304), Hg at (0.328, 0.854, 0.685), Hg at (0.676, 0.689, 0.313) and Hg at (0.854, 0.319, 0.712).

---

(4)
DFT (GGA-PBE) results for a geometry-optimized Mg2OsRu structure.

The value obtained for the formation energy is 0.195 eV/atom.

The structure belongs to space group R-3m (No. 166, hexagonal axes); the cell edges are 2.8211, 2.8211 and 26.8572 Å and the angles 90.00°, 90.00° and 120.00°. The distinct sites, in fractional coordinates, are Mg at (0.0000, 0.0000, 0.2491), Os at (0.0000, 0.0000, 0.0000) and Ru at (0.0000, 0.0000, 0.5000).

---

(5)
DFT (GGA-PBE) results for a geometry-optimized K2NaAu2 structure.

The value obtained for the formation energy is -0.278 eV/atom.

The structure belongs to space group Immm (No. 71); the cell edges are 4.629, 6.995 and 9.994 Å and the angles 90.00°, 90.00° and 90.00°. The distinct sites, in fractional coordinates, are K at (0.000, 0.000, 0.206), Na at (0.000, 0.500, 0.000) and Au at (0.000, 0.291, 0.500).

---

(6)
DFT (GGA-PBE) results for a geometry-optimized ZrSc2Co structure.

The value obtained for the formation energy is -0.213 eV/atom.

The structure belongs to space group Pnma (No. 62); the cell edges are 6.342, 8.762 and 5.815 Å and the angles 90.00°, 90.00° and 90.00°. The distinct sites, in fractional coordinates, are Zr at (0.034, 0.250, 0.129), Sc at (0.179, 0.063, 0.677) and Co at (0.110, 0.750, 0.459).

---

(7)
DFT (GGA-PBE) results for a geometry-optimized CsTc3Bi structure.

The value obtained for the formation energy is 2.132 eV/atom.

The structure belongs to space group Pm-3m (No. 221); the cell edges are 5.278, 5.278 and 5.278 Å and the angles 90.00°, 90.00° and 90.00°. The distinct sites, in fractional coordinates, are Cs at (0.000, 0.000, 0.000), Tc at (0.000, 0.500, 0.500) and Bi at (0.500, 0.500, 0.500).

---

(8)
DFT (GGA-PBE) results for a geometry-optimized BaSi2Pd8 structure.

For the raw formation energy, the calculation gives -295 meV per atom.

The structure belongs to space group P4/mmm (No. 123); the cell edges are 5.502, 5.502 and 8.195 Å and the angles 90.00°, 90.00° and 90.00°. The distinct sites, in fractional coordinates, are Ba at (0.000, 0.000, 0.000), Si at (0.000, 0.500, 0.500) and Pd at (0.252, 0.252, 0.322).

---

(9)
DFT (GGA-PBE) results for a geometry-optimized LiSmNp2Se4 structure.

For the raw formation energy, the calculation gives -1333 meV per atom.

The structure belongs to space group P2/m (No. 10); the cell edges are 7.101, 4.109 and 7.124 Å and the angles 90.00°, 109.54° and 90.00°. The distinct sites, in fractional coordinates, are Li at (0.000, 0.000, 0.000), Sm at (0.500, 0.500, 0.000), Np at (0.000, 0.500, 0.500), Np at (0.500, 0.000, 0.500), Se at (0.242, 0.000, 0.751) and Se at (0.242, 0.500, 0.245).

---

(10)
DFT (GGA-PBE) results for a geometry-optimized TiBeNbZn structure.

The value obtained for the formation energy is 0.018 eV/atom.

The structure belongs to space group F-43m (No. 216); the cell edges are 6.166, 6.166 and 6.166 Å and the angles 90.00°, 90.00° and 90.00°. The distinct sites, in fractional coordinates, are Ti at (0.000, 0.000, 0.000), Be at (0.250, 0.250, 0.250), Nb at (0.000, 0.000, 0.500) and Zn at (0.250, 0.250, 0.750).

---

(11)
DFT (GGA-PBE) results for a geometry-optimized Sc3TlAg2Te6 structure.

For the raw formation energy, the calculation gives -759 meV per atom.

The structure belongs to space group C2/m (No. 12); the cell edges are 19.131, 4.220 and 8.921 Å and the angles 90.00°, 107.38° and 90.00°. The distinct sites, in fractional coordinates, are Sc at (0.000, 0.000, 0.000), Sc at (0.164, 0.500, 0.328), Tl at (0.000, 0.000, 0.500), Ag at (0.167, 0.500, 0.825), Te at (0.002, 0.500, 0.225), Te at (0.164, 0.000, 0.091) and Te at (0.176, 0.000, 0.574).

---

(12)
DFT (GGA-PBE) results for a geometry-optimized NiPtRh structure.

The value obtained for the formation energy is -0.011 eV/atom.

The structure belongs to space group C2 (No. 5); the cell edges are 4.665, 8.059 and 4.685 Å and the angles 90.00°, 109.87° and 90.00°. The distinct sites, in fractional coordinates, are Ni at (0.000, 0.000, 0.000), Ni at (0.000, 0.164, 0.500), Pt at (0.000, 0.499, 0.500), Pt at (0.000, 0.836, 0.500), Rh at (0.000, 0.326, 0.000) and Rh at (0.000, 0.664, 0.000).